Dy3Tl2Ag2 GGA-PBE optimized geometry; V = 175 Å³/cell; uncorrected energy = -0.2762 Ry/atom; energy of formation from the pure elements = -0.295 eV/atom; space group = Cmmm (65); N(E_F) = 5.80 states/eV/f.u.
1.0
2.278 -11.047 0.000
2.278 11.047 0.000
0.000 0.000 3.487
Dy Tl Ag
3 2 2
Cartesian
0.000 0.000 0.000 Dy
2.278 7.473 0.000 Dy
2.278 -7.473 0.000 Dy
2.278 1.741 1.744 Tl
2.278 -1.741 1.744 Tl
2.278 4.748 1.744 Ag
2.278 -4.748 1.744 Ag